ScCrIO2: optimized geometry, PBE+U.

Results
- Space group: P4/mmm (123)
- Spin magnetization: 4.8 μB/cell
- ΔE to the lowest computed polymorph: 0.000 eV per atom

Lattice parameters (Å, degrees): 4.068 4.068 6.163 90.00 90.00 90.00
Each line ends with the local moment (μB).
Fractional positions:
I  0.000  0.000  0.500  -0.06
Cr  0.500  0.500  0.500  4.37
Sc  0.000  0.000  0.000  -0.01
O  0.000  0.500  0.000  0.06
O  0.500  0.000  0.000  0.06